(1)
# La8NdTm4

An optimized crystal structure of La8NdTm4 (PBE, Alexandria via LeMat-Bulk).

Cell and atoms, written as POSCAR:
```
La8NdTm4
1.0
-5.552 4.226 2.021
-1.203 -6.896 -1.942
5.346 -3.385 8.708
Tm La Nd
4 8 1
Direct
0.500 0.000 0.000 Tm
0.000 0.000 0.000 Tm
0.000 0.500 0.000 Tm
0.500 0.500 0.000 Tm
0.492 0.246 0.288 La
0.042 0.796 0.288 La
0.508 0.754 0.712 La
0.422 0.211 0.634 La
0.958 0.204 0.712 La
0.578 0.789 0.366 La
0.958 0.754 0.712 La
0.042 0.246 0.288 La
0.000 0.500 0.500 Nd
```

Summary:
* space group: R-3m (166)
* formation enthalpy at 0 K: 0.1575 eV/atom

***

(2)
# MnTcOs2

An optimized crystal structure of MnTcOs2 (PBE, Alexandria via LeMat-Bulk).

Cell and atoms, written as POSCAR:
```
MnTcOs2
1.0
-3.251 -0.814 -1.787
-0.482 -1.974 1.777
-3.095 1.511 4.942
Mn Os Tc
1 2 1
Direct
0.500 0.750 0.750 Mn
0.000 0.491 0.510 Os
0.000 0.009 0.990 Os
0.500 0.250 0.250 Tc
```

Summary:
* distance to the lowest polymorph of the same formula: 11.7 meV/atom
* space group: Pmmm (47)
* formation enthalpy at 0 K: 0.0754 eV/atom

***

(3)
# TeAsI3

An optimized crystal structure of TeAsI3 (PBE, Alexandria via LeMat-Bulk).

Cell and atoms, written as POSCAR:
```
TeAsI3
1.0
-1.633 4.775 -2.760
-4.359 -2.881 -2.405
-3.379 1.409 4.437
Te I As
1 3 1
Direct
0.500 0.500 0.500 Te
0.000 0.000 0.500 I
0.500 0.000 0.000 I
0.000 0.500 0.000 I
0.000 0.000 0.000 As
```

Summary:
* distance to the lowest polymorph of the same formula: 0.0 meV/atom
* space group: Pm-3m (221)
* E_form (uncorrected): 7.96 kcal/mol of atoms

***

(4)
# Tb3AsO7

An optimized crystal structure of Tb3AsO7 (PBE, Alexandria via LeMat-Bulk).

Cell and atoms, written as POSCAR:
```
Tb3AsO7
1.0
-0.337 5.619 3.025
-4.085 -4.090 2.724
5.289 -2.186 4.651
O Tb As
14 6 2
Direct
0.308 0.070 0.474 O
0.299 0.053 0.032 O
0.070 0.308 0.526 O
0.630 0.370 0.750 O
0.636 0.364 0.250 O
0.692 0.930 0.974 O
0.364 0.636 0.750 O
0.701 0.947 0.532 O
0.941 0.059 0.250 O
0.053 0.299 0.968 O
0.059 0.941 0.750 O
0.930 0.692 0.026 O
0.947 0.701 0.468 O
0.370 0.630 0.250 O
0.002 0.464 0.246 Tb
0.536 0.998 0.254 Tb
0.464 0.002 0.754 Tb
0.522 0.522 0.000 Tb
0.998 0.536 0.746 Tb
0.478 0.478 0.500 Tb
0.001 0.001 0.000 As
0.999 0.999 0.500 As
```

Summary:
* space group: C222_1 (20)
* E_form (uncorrected): -66.58 kcal/mol of atoms

***

(5)
# Tb4Dy

An optimized crystal structure of Tb4Dy (PBE, Alexandria via LeMat-Bulk).

Cell and atoms, written as POSCAR:
```
Tb4Dy
1.0
4.512 0.023 0.000
-0.022 4.512 0.000
-2.245 -2.267 8.247
Tb Dy
4 1
Direct
0.750 0.750 0.000 Tb
0.907 0.407 0.314 Tb
0.250 0.250 0.000 Tb
0.093 0.593 0.686 Tb
0.500 0.000 0.500 Dy
```

Summary:
* distance to the lowest polymorph of the same formula: 351.8 meV/atom
* space group: I4/mmm (139)
* formation enthalpy at 0 K: 0.3667 eV/atom

***

(6)
# NaIrOs3

An optimized crystal structure of NaIrOs3 (PBE, Alexandria via LeMat-Bulk).

Cell and atoms, written as POSCAR:
```
NaIrOs3
1.0
4.771 0.000 0.000
0.000 4.771 0.000
0.000 0.000 4.771
Ir Os Na
1 3 1
Direct
0.000 0.000 0.000 Ir
0.000 0.500 0.000 Os
0.500 0.000 0.000 Os
0.000 0.000 0.500 Os
0.500 0.500 0.500 Na
```

Summary:
* distance to the lowest polymorph of the same formula: 0.0 meV/atom
* space group: Pm-3m (221)
* formation enthalpy at 0 K: 2.1211 eV/atom